Below is VSiP2O9 after structural relaxation, with properties calculated at the PBE+U level.

Cell lengths 8.322, 8.950, 8.950 Å; angles 90.00, 90.00, 90.00 degrees
Each line ends with the local moment (μB).
Positions (direct):
O: 0.702 0.850 0.662  0.00
O: 0.038 0.500 0.000  -0.14
O: 0.298 0.662 0.150  0.00
O: 0.391 0.933 0.135  0.00
O: 0.202 0.150 0.662  0.00
O: 0.538 0.500 0.000  -0.14
O: 0.609 0.865 0.933  0.00
O: 0.702 0.162 0.650  0.00
O: 0.391 0.067 0.865  0.00
O: 0.798 0.650 0.162  0.00
O: 0.798 0.338 0.150  0.00
O: 0.798 0.350 0.838  0.00
O: 0.462 0.000 0.500  -0.14
O: 0.109 0.433 0.365  0.00
O: 0.298 0.650 0.838  0.00
O: 0.609 0.433 0.635  0.00
O: 0.702 0.838 0.350  0.00
O: 0.891 0.067 0.135  0.00
O: 0.391 0.635 0.567  0.00
O: 0.609 0.135 0.067  0.00
O: 0.202 0.850 0.338  0.00
O: 0.891 0.365 0.567  0.00
O: 0.202 0.162 0.350  0.00
O: 0.109 0.865 0.067  0.00
O: 0.891 0.635 0.433  0.00
O: 0.702 0.150 0.338  0.00
O: 0.391 0.365 0.433  0.00
O: 0.798 0.662 0.850  0.00
O: 0.962 0.000 0.500  -0.14
O: 0.891 0.933 0.865  0.00
O: 0.109 0.567 0.635  0.00
O: 0.609 0.567 0.365  0.00
O: 0.109 0.135 0.933  0.00
O: 0.202 0.838 0.650  0.00
O: 0.298 0.338 0.850  0.00
O: 0.298 0.350 0.162  0.00
P: 0.750 0.322 0.678  0.00
P: 0.750 0.178 0.178  0.00
P: 0.750 0.822 0.822  0.00
P: 0.250 0.822 0.178  0.00
P: 0.250 0.678 0.678  0.00
P: 0.250 0.178 0.822  0.00
P: 0.250 0.322 0.322  0.00
P: 0.750 0.678 0.322  0.00
Si: 0.500 0.500 0.500  0.00
Si: 0.500 0.000 0.000  0.00
Si: 0.000 0.000 0.000  0.00
Si: 0.000 0.500 0.500  0.00
V: 0.341 0.500 0.000  1.09
V: 0.841 0.500 0.000  1.09
V: 0.159 0.000 0.500  1.09
V: 0.659 0.000 0.500  1.09

Results
Mass density ... 2.8 g/cm³
Raw total energy ... -7.51 eV/atom
Crystal system ... tetragonal
DOS at the Fermi energy ... 0.000 states/eV per atom
M_tot ... 0.077 μB per atom
Space-group type ... P4/ncc (130)